[1]
DFT (PBE-GGA) results for a relaxed structure of Pr2ErTmS5.

**Calculated total energy**: -5.869 eV/atom
**DOS at the Fermi energy**: 0.558 states/eV per atom
**Magnetization**: 0.00 μB/f.u.
**E_form (uncorrected)**: -1510 meV per atom

CIF file:
```
data_Pr2ErTmS5
_chemical_formula_sum 'Pr2 Er1 Tm1 S5'
_symmetry_space_group_name_H-M 'P 4/m m m'
_symmetry_Int_Tables_number 123
_symmetry_space_group_name_Hall '-P 4 2'
_cell_length_a 4.841
_cell_length_b 4.841
_cell_length_c 10.222
_cell_angle_alpha 90.00
_cell_angle_beta 90.00
_cell_angle_gamma 90.00
loop_
_atom_site_label
_atom_site_type_symbol
_atom_site_fract_x
_atom_site_fract_y
_atom_site_fract_z
Pr1 Pr 0.000 0.000 0.208
Er1 Er 0.500 0.500 0.500
Tm1 Tm 0.500 0.500 0.000
S1 S 0.000 0.000 0.500
S2 S 0.000 0.500 0.000
S3 S 0.500 0.500 0.256
```

***

[2]
DFT (PBE-GGA) results for a relaxed structure of Pr2ErTmS6.

**Calculated total energy**: -6.370 eV/atom
**DOS at the Fermi energy**: 0.000 states/eV per atom
**Magnetization**: 0.00 μB/f.u.
**E_form (uncorrected)**: -2034 meV per atom

CIF file:
```
data_Pr2ErTmS6
_chemical_formula_sum 'Pr6 Er3 Tm3 S18'
_symmetry_space_group_name_H-M 'R 3'
_symmetry_Int_Tables_number 146
_symmetry_space_group_name_Hall 'R 3'
_cell_length_a 7.0513
_cell_length_b 7.0513
_cell_length_c 18.4542
_cell_angle_alpha 90.00
_cell_angle_beta 90.00
_cell_angle_gamma 120.00
loop_
_atom_site_label
_atom_site_type_symbol
_atom_site_fract_x
_atom_site_fract_y
_atom_site_fract_z
Pr1 Pr 0.0000 0.0000 0.0000
Pr2 Pr 0.0000 0.0000 0.4997
Er1 Er 0.0000 0.0000 0.2074
Tm1 Tm 0.0000 0.0000 0.7071
S1 S 0.0525 0.3550 0.7779
S2 S 0.0530 0.6962 0.2781
```

***

[3]
DFT (PBE-GGA) results for a relaxed structure of Pr2YErS4.

**Calculated total energy**: -6.643 eV/atom
**DOS at the Fermi energy**: 0.466 states/eV per atom
**Magnetization**: 0.00 μB/f.u.
**E_form (uncorrected)**: -2006 meV per atom

CIF file:
```
data_Pr2YErS4
_chemical_formula_sum 'Pr2 Y1 Er1 S4'
_symmetry_space_group_name_H-M 'P 1 2/m 1'
_symmetry_Int_Tables_number 10
_symmetry_space_group_name_Hall '-P 2y'
_cell_length_a 6.855
_cell_length_b 3.933
_cell_length_c 7.087
_cell_angle_alpha 90.00
_cell_angle_beta 108.63
_cell_angle_gamma 90.00
loop_
_atom_site_label
_atom_site_type_symbol
_atom_site_fract_x
_atom_site_fract_y
_atom_site_fract_z
Pr1 Pr 0.000 0.000 0.000
Pr2 Pr 0.500 0.500 0.000
Y1 Y 0.000 0.500 0.500
Er1 Er 0.500 0.000 0.500
S1 S 0.245 0.000 0.730
S2 S 0.260 0.500 0.272
```

***

[4]
DFT (PBE-GGA) results for a relaxed structure of Pr3Y2ErS6.

**Calculated total energy**: -6.728 eV/atom
**DOS at the Fermi energy**: 0.432 states/eV per atom
**Magnetization**: 0.00 μB/f.u.
**E_form (uncorrected)**: -2012 meV per atom

CIF file:
```
data_Pr3Y2ErS6
_chemical_formula_sum 'Pr6 Y4 Er2 S12'
_symmetry_space_group_name_H-M 'C 1 2/m 1'
_symmetry_Int_Tables_number 12
_symmetry_space_group_name_Hall '-C 2y'
_cell_length_a 6.860
_cell_length_b 11.919
_cell_length_c 7.045
_cell_angle_alpha 90.00
_cell_angle_beta 109.02
_cell_angle_gamma 90.00
loop_
_atom_site_label
_atom_site_type_symbol
_atom_site_fract_x
_atom_site_fract_y
_atom_site_fract_z
Pr1 Pr 0.000 0.000 0.000
Pr2 Pr 0.000 0.332 0.000
Y1 Y 0.000 0.167 0.500
Er1 Er 0.000 0.500 0.500
S1 S 0.242 0.335 0.730
S2 S 0.247 0.000 0.731
```

***

[5]
DFT (PBE-GGA) results for a relaxed structure of Pr2Y3ErS6.

**Calculated total energy**: -6.850 eV/atom
**DOS at the Fermi energy**: 0.439 states/eV per atom
**Magnetization**: 0.00 μB/f.u.
**E_form (uncorrected)**: -1994 meV per atom

CIF file:
```
data_Pr2Y3ErS6
_chemical_formula_sum 'Pr4 Y6 Er2 S12'
_symmetry_space_group_name_H-M 'C 1 2/m 1'
_symmetry_Int_Tables_number 12
_symmetry_space_group_name_Hall '-C 2y'
_cell_length_a 17.310
_cell_length_b 3.952
_cell_length_c 8.006
_cell_angle_alpha 90.00
_cell_angle_beta 103.48
_cell_angle_gamma 90.00
loop_
_atom_site_label
_atom_site_type_symbol
_atom_site_fract_x
_atom_site_fract_y
_atom_site_fract_z
Pr1 Pr 0.168 0.000 0.336
Y1 Y 0.000 0.500 0.500
Y2 Y 0.170 0.000 0.833
Er1 Er 0.000 0.500 0.000
S1 S 0.005 0.000 0.757
S2 S 0.162 0.500 0.593
S3 S 0.164 0.500 0.070
```

***

[6]
DFT (PBE-GGA) results for a relaxed structure of Pr4YEr3S8.

**Calculated total energy**: -6.519 eV/atom
**DOS at the Fermi energy**: 0.393 states/eV per atom
**Magnetization**: 0.00 μB/f.u.
**E_form (uncorrected)**: -2001 meV per atom

CIF file:
```
data_Pr4YEr3S8
_chemical_formula_sum 'Pr12 Y3 Er9 S24'
_symmetry_space_group_name_H-M 'R -3 m'
_symmetry_Int_Tables_number 166
_symmetry_space_group_name_Hall '-R 3 2"'
_cell_length_a 7.8840
_cell_length_b 7.8840
_cell_length_c 20.0922
_cell_angle_alpha 90.00
_cell_angle_beta 90.00
_cell_angle_gamma 120.00
loop_
_atom_site_label
_atom_site_type_symbol
_atom_site_fract_x
_atom_site_fract_y
_atom_site_fract_z
Pr1 Pr 0.0000 0.0000 0.0000
Pr2 Pr 0.0000 0.5000 0.0000
Y1 Y 0.0000 0.0000 0.5000
Er1 Er 0.0000 0.5000 0.5000
S1 S 0.0000 0.0000 0.2420
S2 S 0.0025 0.5013 0.7575
```